## BaGa4Ag8 (PBE)

Data for an optimized crystal structure of BaGa4Ag8.

Values from the calculation:
- Energy relative to the elements: -1.4 eV/f.u.
- Density of states at the Fermi level: 5.33 states/eV/f.u.
- Spin magnetization: 0.00 μB/f.u.
- Volume: 508.9 Å³/cell

Lattice parameters (Å, degrees): 9.6548 9.6548 5.4597 90.00 90.00 90.00
Space group I4/mmm (No. 139)
Unique sites:
Ba (0.0000, 0.0000, 0.0000) [2 per cell]
Ga (0.2500, 0.2500, 0.2500) [8 per cell]
Ag (0.0000, 0.2261, 0.5000) [8 per cell]
Ag (0.0000, 0.3510, 0.0000) [8 per cell]